Pr4SiPd3 | Alexandria via LeMat-Bulk | PBE | relaxed; formation energy (no corrections) = -742 meV/atom
1.0
4.1119 0.0000 0.0000
0.0000 4.4369 0.0000
0.0000 0.0000 11.0943
Pr Si Pd
4 1 3
direct
0.0000 0.0000 0.0000
0.0000 0.5000 0.2771
0.5000 0.0000 0.4980
0.5000 0.5000 0.7749
0.5000 0.0000 0.2133
0.0000 0.0000 0.7228
0.0000 0.5000 0.5563
0.5000 0.5000 0.0640